Record 1
! LiFeAs2 | the Alexandria database | PBE | optimized geometry; values from VASP
! ΔE_f = -0.25 eV/atom
&SYSTEM
  ibrav = 0, nat = 12, ntyp = 3
/
ATOMIC_SPECIES
Li 6.94 Li.upf
Fe 55.84 Fe.upf
As 74.92 As.upf
CELL_PARAMETERS angstrom
3.1672 0.0000 0.0000
-1.5836 2.7429 0.0000
0.0000 0.0000 22.1893
ATOMIC_POSITIONS angstrom
Li 0.0000 0.0000 0.0000
Li 0.0000 1.8286 14.7929
Li 1.5836 0.9143 7.3964
Fe 0.0000 0.0000 11.0946
Fe 0.0000 1.8286 3.6982
Fe 1.5836 0.9143 18.4911
As 0.0000 0.0000 5.2983
As 0.0000 0.0000 16.8910
As 0.0000 1.8286 9.4945
As 0.0000 1.8286 20.0912
As 1.5836 0.9143 2.0981
As 1.5836 0.9143 12.6948

***

Record 2
! RbAs3N | the Alexandria database | PBE | optimized geometry; values from VASP
! Formation energy from raw total energies = 0.7869 eV per atom
&SYSTEM
  ibrav = 0, nat = 5, ntyp = 3
/
ATOMIC_SPECIES
Rb 85.47 Rb.upf
As 74.92 As.upf
N 14.01 N.upf
CELL_PARAMETERS angstrom
4.6630 0.0000 0.0000
0.0000 4.6630 0.0000
0.0000 0.0000 4.6630
ATOMIC_POSITIONS angstrom
Rb 0.0000 0.0000 0.0000
As 0.0000 2.3315 2.3315
As 2.3315 0.0000 2.3315
As 2.3315 2.3315 0.0000
N 2.3315 2.3315 2.3315

***

Record 3
! TlInPbCl4 | the Alexandria database | PBE | optimized geometry; values from VASP
! Formation energy from raw total energies = -0.9714 eV per atom
&SYSTEM
  ibrav = 0, nat = 14, ntyp = 4
/
ATOMIC_SPECIES
Tl 204.38 Tl.upf
In 114.82 In.upf
Pb 207.20 Pb.upf
Cl 35.45 Cl.upf
CELL_PARAMETERS angstrom
5.6963 0.0000 0.0000
0.0000 5.6963 0.0000
0.0000 0.0000 15.9361
ATOMIC_POSITIONS angstrom
Tl 0.0000 0.0000 0.0000
Tl 2.8482 2.8482 7.9680
In 0.0000 0.0000 11.4714
In 2.8482 2.8482 3.5034
Pb 0.0000 0.0000 5.8231
Pb 2.8482 2.8482 13.7911
Cl 0.0000 0.0000 3.0244
Cl 0.0000 0.0000 8.7876
Cl 0.0000 2.8482 6.0278
Cl 0.0000 2.8482 13.9958
Cl 2.8482 0.0000 6.0278
Cl 2.8482 0.0000 13.9958
Cl 2.8482 2.8482 0.8195
Cl 2.8482 2.8482 10.9924

***

Record 4
! KRbI2O | the Alexandria database | PBE | optimized geometry; values from VASP
! Formation energy from raw total energies = -0.6078 eV per atom
&SYSTEM
  ibrav = 0, nat = 5, ntyp = 4
/
ATOMIC_SPECIES
K 39.10 K.upf
Rb 85.47 Rb.upf
I 126.90 I.upf
O 16.00 O.upf
CELL_PARAMETERS angstrom
6.7043 0.0000 0.0000
0.0000 6.7043 0.0000
0.0000 0.0000 5.2546
ATOMIC_POSITIONS angstrom
K 0.0000 0.0000 0.0000
Rb 3.3521 3.3521 2.6273
I 0.0000 3.3521 0.0000
I 3.3521 0.0000 0.0000
O 0.0000 0.0000 2.6273

***

Record 5
! Rb3In8Pb3 | the Alexandria database | PBE | optimized geometry; values from VASP
! ΔE_f = -0.10 eV/atom
&SYSTEM
  ibrav = 0, nat = 14, ntyp = 3
/
ATOMIC_SPECIES
Rb 85.47 Rb.upf
In 114.82 In.upf
Pb 207.20 Pb.upf
CELL_PARAMETERS angstrom
-2.6117 5.7947 7.6774
2.6117 -5.7947 7.6774
2.6117 5.7947 -7.6774
ATOMIC_POSITIONS angstrom
Rb 0.0000 0.0000 0.0000
Rb 0.0000 0.0000 4.7209
Rb 0.0000 0.0000 10.6339
In 2.6117 -1.5100 2.5402
In 2.6117 -2.6484 5.3861
In 2.6117 1.5100 2.5402
In 0.0000 3.1463 2.2912
In 2.6117 2.6484 5.3861
In 0.0000 4.2847 5.1372
In 0.0000 8.4431 2.2912
In 0.0000 7.3047 5.1372
Pb 2.6117 3.4357 0.0000
Pb 0.0000 5.7947 0.0000
Pb 0.0000 2.3590 7.6774

***

Record 6
! TiTcGe2 | the Alexandria database | PBE | optimized geometry; values from VASP
! ΔE_f = 0.03 eV/atom
&SYSTEM
  ibrav = 0, nat = 16, ntyp = 3
/
ATOMIC_SPECIES
Ti 47.87 Ti.upf
Tc 98.00 Tc.upf
Ge 72.64 Ge.upf
CELL_PARAMETERS angstrom
3.7827 0.0000 0.0000
0.0000 3.7827 0.0000
0.0000 0.0000 18.5569
ATOMIC_POSITIONS angstrom
Ti 0.0000 0.0000 0.0000
Ti 0.0000 1.8914 4.6392
Ti 1.8914 0.0000 13.9177
Ti 1.8914 1.8914 9.2785
Tc 0.0000 0.0000 9.2785
Tc 0.0000 1.8914 13.9177
Tc 1.8914 0.0000 4.6392
Tc 1.8914 1.8914 0.0000
Ge 0.9279 0.9457 2.3196
Ge 0.9457 2.8193 6.9589
Ge 0.9457 2.8548 16.2373
Ge 0.9634 0.9457 11.5981
Ge 2.8193 2.8371 11.5981
Ge 2.8371 0.9279 16.2373
Ge 2.8371 0.9634 6.9589
Ge 2.8548 2.8371 2.3196

***

Record 7
! Fe2SiSb | the Alexandria database | PBE | optimized geometry; values from VASP
! Formation energy from raw total energies = 0.1847 eV per atom
&SYSTEM
  ibrav = 0, nat = 4, ntyp = 3
/
ATOMIC_SPECIES
Fe 55.84 Fe.upf
Si 28.09 Si.upf
Sb 121.76 Sb.upf
CELL_PARAMETERS angstrom
3.0209 0.0000 0.0000
0.0000 4.4849 0.0000
-1.4760 0.0000 4.4922
ATOMIC_POSITIONS angstrom
Fe 0.0000 0.0000 0.0000
Fe 0.0342 2.2424 3.7345
Si 0.0347 0.0000 2.7858
Sb -0.0047 2.2424 1.2247

***

Record 8
! Na6Cd23Sb | the Alexandria database | PBE | optimized geometry; values from VASP
! Formation energy from raw total energies = -0.0774 eV per atom
&SYSTEM
  ibrav = 0, nat = 30, ntyp = 3
/
ATOMIC_SPECIES
Na 22.99 Na.upf
Cd 112.41 Cd.upf
Sb 121.76 Sb.upf
CELL_PARAMETERS angstrom
0.0000 7.0993 7.0993
7.0993 0.0000 7.0993
7.0993 7.0993 0.0000
ATOMIC_POSITIONS angstrom
Na 7.0993 7.0993 3.2013
Na 7.0993 3.2013 7.0993
Na 10.9973 7.0993 7.0993
Na 3.2013 7.0993 7.0993
Na 7.0993 10.9973 7.0993
Na 7.0993 7.0993 10.9973
Cd 3.5497 3.5497 0.0000
Cd 3.5497 0.0000 3.5497
Cd 7.0993 3.5497 3.5497
Cd 8.8483 5.3503 5.3503
Cd 2.1311 2.1311 2.1311
Cd 4.9682 4.9682 2.1311
Cd 4.9682 2.1311 4.9682
Cd 5.3503 5.3503 5.3503
Cd 8.8483 8.8483 5.3503
Cd 8.8483 5.3503 8.8483
Cd 12.0675 9.2304 9.2304
Cd 0.0000 3.5497 3.5497
Cd 3.5497 7.0993 3.5497
Cd 3.5497 3.5497 7.0993
Cd 7.0993 7.0993 7.0993
Cd 2.1311 4.9682 4.9682
Cd 5.3503 8.8483 5.3503
Cd 5.3503 5.3503 8.8483
Cd 8.8483 8.8483 8.8483
Cd 9.2304 12.0675 9.2304
Cd 9.2304 9.2304 12.0675
Cd 12.0675 12.0675 12.0675
Cd 5.3503 8.8483 8.8483
Sb 0.0000 0.0000 0.0000

***

Record 9
! LaHf2PtO8 | the Alexandria database | PBE | optimized geometry; values from VASP
! Formation energy from raw total energies = -2.5067 eV per atom
&SYSTEM
  ibrav = 0, nat = 12, ntyp = 4
/
ATOMIC_SPECIES
La 138.91 La.upf
Hf 178.49 Hf.upf
Pt 195.08 Pt.upf
O 16.00 O.upf
CELL_PARAMETERS angstrom
4.9422 0.0000 0.0000
0.0000 6.6425 0.0000
-0.0943 0.0000 4.9465
ATOMIC_POSITIONS angstrom
La 0.0000 0.0000 0.0000
Hf 2.4239 1.6776 2.4733
Hf 2.4239 4.9649 2.4733
Pt 0.0000 3.3213 0.0000
O 1.0056 1.9188 1.0181
O 1.0056 4.7237 1.0181
O 1.3685 3.3213 3.5031
O 1.5466 0.0000 3.3241
O 3.3013 0.0000 1.6225
O 3.4793 3.3213 1.4434
O 3.8423 1.9188 3.9284
O 3.8423 4.7237 3.9284

***

Record 10
! La2PaP3 | the Alexandria database | PBE | optimized geometry; values from VASP
! ΔE_f = -1.47 eV/atom
&SYSTEM
  ibrav = 0, nat = 12, ntyp = 3
/
ATOMIC_SPECIES
La 138.91 La.upf
Pa 231.04 Pa.upf
P 30.97 P.upf
CELL_PARAMETERS angstrom
4.1466 0.0000 0.0000
0.0000 5.8616 0.0000
0.0000 0.0000 12.5206
ATOMIC_POSITIONS angstrom
La 0.0000 0.0000 2.1151
La 0.0000 0.0000 10.4055
La 2.0733 2.9308 4.1452
La 2.0733 2.9308 8.3754
Pa 0.0000 0.0000 6.2603
Pa 2.0733 2.9308 0.0000
P 0.0000 2.9308 1.8964
P 0.0000 2.9308 6.2603
P 0.0000 2.9308 10.6242
P 2.0733 0.0000 0.0000
P 2.0733 0.0000 4.3639
P 2.0733 0.0000 8.1568

***

Record 11
! Ho2AlZn12Cu3 | the Alexandria database | PBE | optimized geometry; values from VASP
! ΔE_f = 0.00 eV/atom
&SYSTEM
  ibrav = 0, nat = 18, ntyp = 4
/
ATOMIC_SPECIES
Ho 164.93 Ho.upf
Al 26.98 Al.upf
Zn 65.41 Zn.upf
Cu 63.55 Cu.upf
CELL_PARAMETERS angstrom
4.5907 2.6505 4.1621
-4.5907 2.6505 4.1621
0.0000 -5.3009 4.1621
ATOMIC_POSITIONS angstrom
Ho 0.0000 0.0000 3.0801
Ho 0.0000 0.0000 9.4064
Al 0.0000 0.0000 6.2432
Zn 0.0000 -3.0838 3.3094
Zn -2.6706 1.5419 3.3094
Zn -2.2251 -1.2846 6.7118
Zn 0.0000 -2.5693 5.7746
Zn -2.2251 1.2846 5.7746
Zn -2.6706 -1.5419 9.1770
Zn 2.6706 1.5419 3.3095
Zn 2.2251 -1.2847 6.7118
Zn 0.0000 2.5693 6.7118
Zn 2.2251 1.2847 5.7746
Zn 2.6706 -1.5419 9.1770
Zn 0.0000 3.0838 9.1770
Cu -2.2954 -1.3252 4.1621
Cu -2.2954 1.3252 8.3243
Cu 0.0000 2.6504 4.1621

***

Record 12
! Ac2ScBeS6 | the Alexandria database | PBE | optimized geometry; values from VASP
! Formation energy from raw total energies = -1.6076 eV per atom
&SYSTEM
  ibrav = 0, nat = 20, ntyp = 4
/
ATOMIC_SPECIES
Ac 227.00 Ac.upf
Sc 44.96 Sc.upf
Be 9.01 Be.upf
S 32.06 S.upf
CELL_PARAMETERS angstrom
6.5039 0.0000 0.0000
0.0000 7.2637 0.0000
-6.3448 0.0000 9.3460
ATOMIC_POSITIONS angstrom
Ac -0.1647 0.6524 2.3324
Ac -3.3371 2.9794 7.0055
Ac 3.4962 4.2843 2.3406
Ac 0.3238 6.6113 7.0136
Sc 3.2519 0.0000 0.0000
Sc 0.0795 3.6318 4.6730
Be -3.1724 0.0000 4.6730
Be 0.0000 3.6318 0.0000
S -5.1631 1.4363 8.9539
S -1.9907 2.1955 4.2809
S -4.3629 5.0245 8.9898
S -1.1905 5.8711 4.3167
S -2.6500 0.0595 6.8321
S 0.5224 3.5723 2.1591
S -0.3633 3.6914 7.1869
S 2.8091 7.2042 2.5139
S 1.3496 1.3926 5.0293
S 4.5220 2.2392 0.3563
S 2.1498 5.0682 5.0651
S 5.3222 5.8274 0.3921

***

Record 13
! Y3ZrHg | the Alexandria database | PBE | optimized geometry; values from VASP
! ΔE_f = 0.54 eV/atom
&SYSTEM
  ibrav = 0, nat = 5, ntyp = 3
/
ATOMIC_SPECIES
Y 88.91 Y.upf
Zr 91.22 Zr.upf
Hg 200.59 Hg.upf
CELL_PARAMETERS angstrom
5.5880 0.0000 0.0000
0.0000 5.5880 0.0000
0.0000 0.0000 5.5880
ATOMIC_POSITIONS angstrom
Y 0.0000 0.0000 2.7940
Y 0.0000 2.7940 0.0000
Y 2.7940 0.0000 0.0000
Zr 2.7940 2.7940 2.7940
Hg 0.0000 0.0000 0.0000

***

Record 14
! ZnReTe | the Alexandria database | PBE | optimized geometry; values from VASP
! Formation energy from raw total energies = 0.4320 eV per atom
&SYSTEM
  ibrav = 0, nat = 6, ntyp = 3
/
ATOMIC_SPECIES
Zn 65.41 Zn.upf
Re 186.21 Re.upf
Te 127.60 Te.upf
CELL_PARAMETERS angstrom
3.1734 0.0000 0.0000
0.0000 3.1734 0.0000
0.0000 0.0000 13.0382
ATOMIC_POSITIONS angstrom
Zn 0.0000 0.0000 0.0000
Zn 1.5867 1.5867 6.5191
Re 0.0000 0.0000 8.0518
Re 1.5867 1.5867 1.5326
Te 0.0000 0.0000 3.0799
Te 1.5867 1.5867 9.5990

***

Record 15
! Pr2GaAs3Rh4 | the Alexandria database | PBE | optimized geometry; values from VASP
! ΔE_f = -0.92 eV/atom
&SYSTEM
  ibrav = 0, nat = 10, ntyp = 4
/
ATOMIC_SPECIES
Pr 140.91 Pr.upf
Ga 69.72 Ga.upf
As 74.92 As.upf
Rh 102.91 Rh.upf
CELL_PARAMETERS angstrom
4.2579 0.0000 0.0000
0.0000 4.2579 0.0000
0.0000 0.0000 10.2308
ATOMIC_POSITIONS angstrom
Pr 0.0000 2.1289 2.5197
Pr 2.1289 0.0000 7.7111
Ga 2.1289 2.1289 0.0000
As 0.0000 0.0000 0.0000
As 0.0000 2.1289 6.5011
As 2.1289 0.0000 3.7297
Rh 0.0000 0.0000 5.1154
Rh 0.0000 2.1289 8.9290
Rh 2.1289 0.0000 1.3017
Rh 2.1289 2.1289 5.1154

***

Record 16
! Ca3Cu9Ge2 | the Alexandria database | PBE | optimized geometry; values from VASP
! ΔE_f = -0.15 eV/atom
&SYSTEM
  ibrav = 0, nat = 14, ntyp = 3
/
ATOMIC_SPECIES
Ca 40.08 Ca.upf
Cu 63.55 Cu.upf
Ge 72.64 Ge.upf
CELL_PARAMETERS angstrom
-2.0881 4.7546 6.1515
2.0881 -4.7546 6.1515
2.0881 4.7546 -6.1515
ATOMIC_POSITIONS angstrom
Ca 0.0000 0.0000 0.0000
Ca 0.0000 0.0000 3.8131
Ca 0.0000 0.0000 8.4899
Cu 2.0881 -1.7706 2.3815
Cu 2.0881 -2.0715 4.8123
Cu 2.0881 1.7706 2.3815
Cu 0.0000 2.6831 1.3392
Cu 0.0000 4.7546 0.0000
Cu 2.0881 2.0715 4.8123
Cu 0.0000 2.9841 3.7700
Cu 0.0000 6.8261 1.3392
Cu 0.0000 6.5252 3.7700
Ge 2.0881 2.4782 0.0000
Ge 0.0000 2.2764 6.1515

***

Record 17
! TaNi2Pd | the Alexandria database | PBE | optimized geometry; values from VASP
! ΔE_f = -0.22 eV/atom
&SYSTEM
  ibrav = 0, nat = 16, ntyp = 3
/
ATOMIC_SPECIES
Ta 180.95 Ta.upf
Ni 58.69 Ni.upf
Pd 106.42 Pd.upf
CELL_PARAMETERS angstrom
6.0170 0.0000 0.0000
0.0000 6.0170 0.0000
0.0000 0.0000 6.0170
ATOMIC_POSITIONS angstrom
Ta 0.0000 0.0000 0.0000
Ta 0.0000 3.0085 3.0085
Ta 3.0085 0.0000 3.0085
Ta 3.0085 3.0085 0.0000
Ni 1.5043 1.5043 1.5043
Ni 1.5043 1.5043 4.5128
Ni 1.5043 4.5128 1.5043
Ni 1.5043 4.5128 4.5128
Ni 4.5128 1.5043 1.5043
Ni 4.5128 1.5043 4.5128
Ni 4.5128 4.5128 1.5043
Ni 4.5128 4.5128 4.5128
Pd 0.0000 0.0000 3.0085
Pd 0.0000 3.0085 0.0000
Pd 3.0085 0.0000 0.0000
Pd 3.0085 3.0085 3.0085

***

Record 18
! Rb3MnGa | the Alexandria database | PBE | optimized geometry; values from VASP
! ΔE_f = 0.78 eV/atom
&SYSTEM
  ibrav = 0, nat = 5, ntyp = 3
/
ATOMIC_SPECIES
Rb 85.47 Rb.upf
Mn 54.94 Mn.upf
Ga 69.72 Ga.upf
CELL_PARAMETERS angstrom
6.5947 0.0000 0.0000
0.0000 6.5947 0.0000
0.0000 0.0000 6.5947
ATOMIC_POSITIONS angstrom
Rb 0.0000 0.0000 3.2973
Rb 0.0000 3.2973 0.0000
Rb 3.2973 0.0000 0.0000
Mn 3.2973 3.2973 3.2973
Ga 0.0000 0.0000 0.0000

***

Record 19
! P3PbN | the Alexandria database | PBE | optimized geometry; values from VASP
! Formation energy from raw total energies = 2.7554 eV per atom
&SYSTEM
  ibrav = 0, nat = 5, ntyp = 3
/
ATOMIC_SPECIES
P 30.97 P.upf
Pb 207.20 Pb.upf
N 14.01 N.upf
CELL_PARAMETERS angstrom
5.2201 0.0000 0.0000
0.0000 5.2201 0.0000
0.0000 0.0000 5.2201
ATOMIC_POSITIONS angstrom
P 0.0000 0.0000 2.6100
P 0.0000 2.6100 0.0000
P 2.6100 0.0000 0.0000
Pb 0.0000 0.0000 0.0000
N 2.6100 2.6100 2.6100

***

Record 20
! Zr4ScMo | the Alexandria database | PBE | optimized geometry; values from VASP
! ΔE_f = 0.50 eV/atom
&SYSTEM
  ibrav = 0, nat = 6, ntyp = 3
/
ATOMIC_SPECIES
Zr 91.22 Zr.upf
Sc 44.96 Sc.upf
Mo 95.94 Mo.upf
CELL_PARAMETERS angstrom
0.0000 4.0478 4.0478
4.0478 0.0000 4.0478
4.0478 4.0478 0.0000
ATOMIC_POSITIONS angstrom
Zr 1.0066 1.0066 1.0066
Zr 3.0412 3.0412 1.0066
Zr 3.0412 1.0066 3.0412
Zr 1.0066 3.0412 3.0412
Sc 4.0478 4.0478 4.0478
Mo 6.0718 6.0718 6.0718

***

One value per record, in order, for E: -5.17 -3.86 -3.29 -2.63 -2.66 -6.84 -6.43 -1.18 -8.39 -7.40 -2.25 -5.91 -5.10 -5.19 -6.51 -3.87 -7.37 -2.24 -2.90 -8.06 eV/atom.